1.
Computed, not measured: crystalline LuTiAg2 at its relaxed geometry at the PBE level of DFT.

Energy above the lowest structure with this stoichiometry in eV per atom: 0.000
Symmetry: No. 123
DFT formation energy in meV/atom: -62
Final energy in eV per cell: -18.37
Mass density in Mg/m³: 9.07

Cell: 3.440 3.440 6.785 Å, 90.00 90.00 90.00°
Each line ends with the local moment (μB).
Fractional coordinates of all 4 atoms:
Lu1 0.500 0.500 0.500  -0.07
Ag1 0.000 0.000 0.772  -0.03
Ag2 0.000 0.000 0.228  -0.03
Ti1 0.500 0.500 0.000  -0.94


2.
Computed, not measured: crystalline LuTiAg2 at its relaxed geometry at the PBE level of DFT.

Energy above the lowest structure with this stoichiometry in eV per atom: 0.014
Symmetry: No. 123
DFT formation energy in meV/atom: -48
Final energy in eV per cell: -18.31
Mass density in Mg/m³: 9.02

Cell: 3.500 4.804 4.804 Å, 90.00 90.00 90.00°
Each line ends with the local moment (μB).
Fractional coordinates of all 4 atoms:
Lu1 0.500 0.000 0.000  0.04
Ag1 0.000 0.000 0.500  0.03
Ag2 0.000 0.500 0.000  0.03
Ti1 0.500 0.500 0.500  1.15


> Which of these has the highest final energy?

number 2


> Look up the energy above the lowest structure with this stoichiometry of the second one.

0.014 eV per atom